[1]
Entry from Alexandria via LeMat-Bulk: a relaxed structure of Li5TlSn6 (PBE).

The value obtained for the size of the total moment is 0.00 μB/cell. The value obtained for the total DFT energy (no corrections) is -38.9 eV/f.u. For the formation energy, the calculation gives -245 meV per atom.

The structure belongs to space group Immm (No. 71); the cell edges are 4.550, 8.798 and 13.420 Å and the angles 90.00°, 90.00° and 90.00°. The distinct sites, in fractional coordinates, are Li at (0.000, 0.000, 0.000), Li at (0.000, 0.000, 0.348), Li at (0.000, 0.500, 0.319), Tl at (0.000, 0.500, 0.000), Sn at (0.000, 0.229, 0.172) and Sn at (0.000, 0.283, 0.500).

***

[2]
Entry from Alexandria via LeMat-Bulk: a relaxed structure of Li7Tl2Sn (PBE).

The value obtained for the size of the total moment is 0.00 μB/cell. The value obtained for the total DFT energy (no corrections) is -22.5 eV/f.u. As for the energy above the lowest structure with this stoichiometry: 144 meV per atom. For the formation energy, the calculation gives -38 meV per atom.

The structure belongs to space group Cmmm (No. 65); the cell edges are 6.815, 15.912 and 4.175 Å and the angles 90.00°, 90.00° and 90.00°. The distinct sites, in fractional coordinates, are Li at (0.000, 0.000, 0.000), Li at (0.000, 0.319, 0.500), Li at (0.185, 0.403, 0.000), Tl at (0.000, 0.201, 0.000) and Sn at (0.000, 0.500, 0.500).

***

[3]
Entry from Alexandria via LeMat-Bulk: a relaxed structure of Li2TlSn (PBE).

The value obtained for the size of the total moment is 0.00 μB/cell. The value obtained for the total DFT energy (no corrections) is -11.3 eV/f.u. As for the energy above the lowest structure with this stoichiometry: 13 meV per atom. For the formation energy, the calculation gives -274 meV per atom.

The structure belongs to space group Pmmn (No. 59, origin choice 2); the cell edges are 5.065, 6.461 and 5.118 Å and the angles 90.00°, 90.00° and 90.00°. The distinct sites, in fractional coordinates, are Li at (0.250, 0.000, 0.210), Tl at (0.250, 0.250, 0.710) and Sn at (0.250, 0.750, 0.725).

***

[4]
Entry from Alexandria via LeMat-Bulk: a relaxed structure of LiTlSn (PBE).

The value obtained for the size of the total moment is 0.00 μB/cell. The value obtained for the total DFT energy (no corrections) is -8.7 eV/f.u. For the formation energy, the calculation gives -149 meV per atom.

The structure belongs to space group P1 (No. 1); the cell edges are 3.383, 6.437 and 6.998 Å and the angles 102.71°, 90.06° and 90.01°. The distinct sites, in fractional coordinates, are Li at (0.000, 0.000, 0.000), Li at (0.000, 0.495, 0.007), Tl at (0.498, 0.328, 0.314), Tl at (0.996, 0.840, 0.372), Sn at (0.499, 0.679, 0.730) and Sn at (0.500, 0.182, 0.726).

***

[5]
Entry from Alexandria via LeMat-Bulk: a relaxed structure of LiTlSn (PBE).

The value obtained for the size of the total moment is 0.00 μB/cell. The value obtained for the total DFT energy (no corrections) is -8.7 eV/f.u. For the formation energy, the calculation gives -138 meV per atom.

The structure belongs to space group Cm (No. 8); the cell edges are 15.783, 3.390 and 5.798 Å and the angles 90.00°, 108.20° and 90.00°. The distinct sites, in fractional coordinates, are Li at (0.000, 0.000, 0.000), Li at (0.172, 0.000, 0.531), Tl at (0.160, 0.500, 0.030), Tl at (0.338, 0.500, 0.525), Sn at (0.012, 0.500, 0.478) and Sn at (0.341, 0.000, 0.017).

***

[6]
Entry from Alexandria via LeMat-Bulk: a relaxed structure of LiTl3Sn (PBE).

The value obtained for the size of the total moment is 0.00 μB/cell. The value obtained for the total DFT energy (no corrections) is -12.3 eV/f.u. As for the energy above the lowest structure with this stoichiometry: 184 meV per atom. For the formation energy, the calculation gives 136 meV per atom.

The structure belongs to space group Pm-3m (No. 221); the cell edges are 5.212, 5.212 and 5.212 Å and the angles 90.00°, 90.00° and 90.00°. The distinct sites, in fractional coordinates, are Li at (0.000, 0.000, 0.000), Tl at (0.000, 0.000, 0.500) and Sn at (0.500, 0.500, 0.500).

***

[7]
Entry from Alexandria via LeMat-Bulk: a relaxed structure of LiTlSn (PBE).

The value obtained for the size of the total moment is 0.00 μB/cell. The value obtained for the total DFT energy (no corrections) is -8.7 eV/f.u. For the formation energy, the calculation gives -141 meV per atom.

The structure belongs to space group Pm (No. 6); the cell edges are 5.600, 3.525 and 7.915 Å and the angles 90.00°, 108.13° and 90.00°. The distinct sites, in fractional coordinates, are Li at (0.000, 0.000, 0.000), Li at (0.296, 0.000, 0.636), Tl at (0.484, 0.500, 0.957), Tl at (0.491, 0.000, 0.324), Sn at (0.839, 0.500, 0.672) and Sn at (0.990, 0.500, 0.323).

***

[8]
Entry from Alexandria via LeMat-Bulk: a relaxed structure of LiTl2Sn (PBE).

The value obtained for the size of the total moment is 0.00 μB/cell. The value obtained for the total DFT energy (no corrections) is -10.9 eV/f.u. As for the energy above the lowest structure with this stoichiometry: 2 meV per atom. For the formation energy, the calculation gives -70 meV per atom.

The structure belongs to space group P4/mmm (No. 123); the cell edges are 3.649, 3.649 and 7.743 Å and the angles 90.00°, 90.00° and 90.00°. The distinct sites, in fractional coordinates, are Li at (0.000, 0.000, 0.000), Tl at (0.500, 0.500, 0.223) and Sn at (0.000, 0.000, 0.500).

***

[9]
Entry from Alexandria via LeMat-Bulk: a relaxed structure of Li6TlSn5 (PBE).

The value obtained for the size of the total moment is 0.00 μB/cell. The value obtained for the total DFT energy (no corrections) is -37.5 eV/f.u. As for the energy above the lowest structure with this stoichiometry: 4 meV per atom. For the formation energy, the calculation gives -301 meV per atom.

The structure belongs to space group C2/m (No. 12); the cell edges are 8.557, 14.288 and 4.827 Å and the angles 90.00°, 123.48° and 90.00°. The distinct sites, in fractional coordinates, are Li at (0.248, 0.167, 0.249), Li at (0.249, 0.000, 0.748), Tl at (0.000, 0.000, 0.000), Sn at (0.000, 0.170, 0.500), Sn at (0.000, 0.334, 0.000) and Sn at (0.000, 0.500, 0.500).

***

[10]
Entry from Alexandria via LeMat-Bulk: a relaxed structure of Li3Tl2Sn (PBE).

The value obtained for the size of the total moment is 0.00 μB/cell. The value obtained for the total DFT energy (no corrections) is -16.0 eV/f.u. As for the energy above the lowest structure with this stoichiometry: 0 meV per atom. For the formation energy, the calculation gives -261 meV per atom.

The structure belongs to space group P4/mmm (No. 123); the cell edges are 3.364, 3.364 and 11.035 Å and the angles 90.00°, 90.00° and 90.00°. The distinct sites, in fractional coordinates, are Li at (0.000, 0.000, 0.000), Li at (0.000, 0.000, 0.341), Tl at (0.500, 0.500, 0.170) and Sn at (0.500, 0.500, 0.500).

***

[11]
Entry from Alexandria via LeMat-Bulk: a relaxed structure of LiTl4Sn3 (PBE).

The value obtained for the size of the total moment is 0.00 μB/cell. The value obtained for the total DFT energy (no corrections) is -23.8 eV/f.u. For the formation energy, the calculation gives -55 meV per atom.

The structure belongs to space group Pmmn (No. 59, origin choice 2); the cell edges are 4.331, 10.162 and 10.210 Å and the angles 90.00°, 90.00° and 90.00°. The distinct sites, in fractional coordinates, are Li at (0.250, 0.250, 0.094), Tl at (0.250, 0.001, 0.365), Tl at (0.250, 0.250, 0.626), Tl at (0.250, 0.750, 0.669), Sn at (0.250, 0.501, 0.892) and Sn at (0.250, 0.750, 0.116).

***

[12]
Entry from Alexandria via LeMat-Bulk: a relaxed structure of Li2TlSn2 (PBE).

The value obtained for the size of the total moment is 0.00 μB/cell. The value obtained for the total DFT energy (no corrections) is -14.6 eV/f.u. As for the energy above the lowest structure with this stoichiometry: 118 meV per atom. For the formation energy, the calculation gives -85 meV per atom.

The structure belongs to space group I4/mmm (No. 139); the cell edges are 4.384, 4.384 and 12.918 Å and the angles 90.00°, 90.00° and 90.00°. The distinct sites, in fractional coordinates, are Li at (0.000, 0.500, 0.250), Tl at (0.000, 0.000, 0.000) and Sn at (0.000, 0.000, 0.392).